Compound: NdCo2GeN
Source: Alexandria
Functional: PBE-GGA
Structure: relaxed

Results
Its total energy is -7.05 eV per atom. The calculation puts the uncorrected formation energy at -662 meV/atom. The calculated volume is 14.25 Å³ per atom.

Geometry as POSCAR:
```
NdCo2GeN
1.0
1.8721 -5.4814 0.0000
1.8721 5.4814 0.0000
0.0000 0.0000 6.9412
Nd Co Ge N
2 4 2 2
Cartesian
1.8721 4.9770 5.2059
1.8721 -4.9770 1.7353
1.8721 1.7618 3.8495
1.8721 1.7618 6.5622
1.8721 -1.7618 0.3790
1.8721 -1.7618 3.0916
1.8721 2.9684 1.7353
1.8721 -2.9684 5.2059
1.8721 0.0000 0.0000
1.8721 0.0000 3.4706
```

Compound: Li2TcCl
Source: Alexandria
Functional: PBE-GGA
Structure: relaxed

Results
Its total energy is -3.75 eV per atom. Its distance to the lowest polymorph of the same formula is 518 meV per atom. The calculation puts the uncorrected formation energy at 261 meV/atom. The calculated volume is 14.54 Å³ per atom.

Geometry as POSCAR:
```
Li2TcCl
1.0
2.8747 0.0000 0.0000
0.0000 4.3074 0.0000
0.0000 0.0000 4.6953
Li Tc Cl
2 1 1
Cartesian
0.0000 0.0000 0.0000
1.4374 0.0000 2.3477
0.0000 2.1537 2.3477
1.4374 2.1537 0.0000
```